Here is SrSb after structural relaxation from Alexandria via LeMat-Bulk. Energies are from GGA-PBE.

abc: 15.590 4.563 8.376
angles: 90.00 107.09 90.00
Space group Cm (No. 8)
Asymmetric unit:
Sr1 0.000 0.000 0.000
Sr2 0.080 0.000 0.542
Sr3 0.334 0.500 0.443
Sb1 0.122 0.500 0.282
Sb2 0.433 0.000 0.241
Sb3 0.456 0.000 0.695

magnetic moment = 0.00 μB per formula unit
formation energy without anion corrections = -65 kJ/mol of atoms
E = -7.14 eV/f.u.
DOS(E_F) = 0.5476 states/eV/atom